Ac8Te3PtRh3: optimized geometry, PBE.

Unit cell a=15.2715 b=8.8076 c=9.5241 alpha=90.00 beta=122.35 gamma=90.00
Space group C2/m (No. 12)
One atom of each set of equivalent atoms:
Ac  0.0155  0.2487  0.2953 [8 per cell]
Ac  0.2359  0.5000  0.7049 [4 per cell]
Ac  0.2367  0.0000  0.7099 [4 per cell]
Te  0.0000  0.5000  0.0000 [2 per cell]
Te  0.2500  0.2500  0.0000 [4 per cell]
Pt  0.0000  0.5000  0.5000 [2 per cell]
Rh  0.0000  0.0000  0.5000 [2 per cell]
Rh  0.2500  0.2500  0.5000 [4 per cell]

Calculated values
* raw formation energy: -1.032 eV/atom